First-principles (PBE-GGA) data for a geometry-optimized KAsIr structure, as listed in Alexandria via LeMat-Bulk.

CIF file:
```
data_KAsIr
_chemical_formula_sum 'K4 As4 Ir4'
_space_group_name_H-M_alt 'F -4 3 m'
_space_group_IT_number 216
_space_group_name_Hall 'F -4 2 3'
_cell_length_a 6.686
_cell_length_b 6.686
_cell_length_c 6.686
_cell_angle_alpha 90.00
_cell_angle_beta 90.00
_cell_angle_gamma 90.00
loop_
_atom_site_label
_atom_site_fract_x
_atom_site_fract_y
_atom_site_fract_z
K1 0.000 0.000 0.000
As1 0.250 0.250 0.250
Ir1 0.250 0.250 0.750
```

Results
For the calculated formation energy, the calculation gives 1.707 eV/atom. The total magnetic moment comes out at 0.0000 μB/atom. The density of states at the Fermi level is 1.70 states/eV/f.u.

---

First-principles (PBE-GGA) data for a geometry-optimized K2AsIr structure, as listed in Alexandria via LeMat-Bulk.

CIF file:
```
data_K2AsIr
_chemical_formula_sum 'K6 As3 Ir3'
_space_group_name_H-M_alt 'R -3 m'
_space_group_IT_number 166
_space_group_name_Hall '-R 3 2"'
_cell_length_a 3.0492
_cell_length_b 3.0492
_cell_length_c 33.0682
_cell_angle_alpha 90.00
_cell_angle_beta 90.00
_cell_angle_gamma 120.00
loop_
_atom_site_label
_atom_site_fract_x
_atom_site_fract_y
_atom_site_fract_z
K1 0.0000 0.0000 0.2486
As1 0.0000 0.0000 0.0000
Ir1 0.0000 0.0000 0.5000
```

Results
For the calculated formation energy, the calculation gives 0.606 eV/atom. The total magnetic moment comes out at 0.1104 μB/atom. The density of states at the Fermi level is 3.88 states/eV/f.u.

---

First-principles (PBE-GGA) data for a geometry-optimized KAsIr2 structure, as listed in Alexandria via LeMat-Bulk.

CIF file:
```
data_KAsIr2
_chemical_formula_sum 'K4 As4 Ir8'
_space_group_name_H-M_alt 'I -4 2 d'
_space_group_IT_number 122
_space_group_name_Hall 'I -4 2bw'
_cell_length_a 7.568
_cell_length_b 7.568
_cell_length_c 6.246
_cell_angle_alpha 90.00
_cell_angle_beta 90.00
_cell_angle_gamma 90.00
loop_
_atom_site_label
_atom_site_fract_x
_atom_site_fract_y
_atom_site_fract_z
K1 0.000 0.000 0.000
As1 0.000 0.000 0.500
Ir1 0.150 0.250 0.625
```

Results
For the calculated formation energy, the calculation gives 0.575 eV/atom. The total magnetic moment comes out at 0.0000 μB/atom. The density of states at the Fermi level is 0.21 states/eV/f.u.